# 1
Entry from Alexandria: NpSeN after structural relaxation (PBE).

Values from the calculation:
E above lowest polymorph (meV/atom): 0
Uncorrected formation energy (meV per atom): -1164

Unit cell a=3.7951 b=3.7951 c=7.0467 alpha=90.00 beta=90.00 gamma=90.00
Space group P4/nmm (No. 129, origin choice 2)
One atom of each set of equivalent atoms:
Np 0.2500 0.2500 0.1681
Se 0.2500 0.2500 0.6304
N 0.2500 0.7500 0.0000



# 2
Entry from Alexandria: MgIrRu2 after structural relaxation (PBE).

Values from the calculation:
Formation energy (eV/atom): 0.1276

Unit cell a=2.7592 b=2.7592 c=27.0290 alpha=90.00 beta=90.00 gamma=120.00
Space group R-3m (No. 166, hexagonal axes)
One atom of each set of equivalent atoms:
Mg 0.0000 0.0000 0.0000
Ir 0.0000 0.0000 0.5000
Ru 0.0000 0.0000 0.2475



# 3
Entry from Alexandria: LaTbSmMg after structural relaxation (PBE).

Values from the calculation:
E above lowest polymorph (meV/atom): 0
Formation energy (eV/atom): -0.0298

Unit cell a=3.7429 b=3.7429 c=9.0021 alpha=90.00 beta=90.00 gamma=90.00
Space group P4mm (No. 99)
One atom of each set of equivalent atoms:
La 0.0000 0.0000 0.0000
Tb 0.5000 0.5000 0.7235
Sm 0.5000 0.5000 0.2823
Mg 0.0000 0.0000 0.5072



# 4
Entry from Alexandria: LaMnRu2 after structural relaxation (PBE).

Values from the calculation:
Formation energy (eV/atom): 0.4808

Unit cell a=4.5714 b=4.5714 c=17.0557 alpha=90.00 beta=90.00 gamma=90.00
Space group I-42d (No. 122)
One atom of each set of equivalent atoms:
La 0.0000 0.0000 0.0000
Mn 0.0000 0.0000 0.5000
Ru 0.1047 0.2500 0.6250



Number 1: electronic total energy -9.415 eV/atom, volume 101 Å³/cell, spin magnetization 2.03 μB/f.u.. Number 2: electronic total energy -7.124 eV/atom, volume 178 Å³/cell, spin magnetization 0.00 μB/f.u.. Number 3: electronic total energy -3.998 eV/atom, volume 126 Å³/cell, spin magnetization 0.00 μB/f.u.. Number 4: electronic total energy -7.681 eV/atom, volume 356 Å³/cell, spin magnetization 4.08 μB/f.u..